1.
# Li2TbNd2Mg5

A relaxed structure of Li2TbNd2Mg5 (PBE, the Alexandria database).

The value obtained for the density of states at the Fermi level is 0.95 states/eV per atom. Its uncorrected energy is -2.643 eV per atom. Its energy relative to the elements is -0.05 eV per atom.

The structure belongs to space group P4/mbm (No. 127); the cell edges are 10.722, 10.722 and 4.463 Å and the angles 90.00°, 90.00° and 90.00°. Symmetry generates all atoms from Li at (0.114, 0.386, 0.000), Tb at (0.000, 0.000, 0.000), Nd at (0.181, 0.681, 0.000), Mg at (0.000, 0.500, 0.500) and Mg at (0.061, 0.214, 0.500).

***

2.
# Li2Tb2NdMg5

A relaxed structure of Li2Tb2NdMg5 (PBE, the Alexandria database).

The value obtained for the density of states at the Fermi level is 0.95 states/eV per atom. Its uncorrected energy is -2.605 eV per atom. Its energy relative to the elements is -0.02 eV per atom.

The structure belongs to space group P4/mbm (No. 127); the cell edges are 10.666, 10.666 and 4.435 Å and the angles 90.00°, 90.00° and 90.00°. Symmetry generates all atoms from Li at (0.113, 0.387, 0.000), Tb at (0.180, 0.680, 0.000), Nd at (0.000, 0.000, 0.000), Mg at (0.000, 0.500, 0.500) and Mg at (0.063, 0.217, 0.500).

***

Which formula does entry 1 have?
Li2TbNd2Mg5

***

Number 1 is which compound?
Li2TbNd2Mg5